1.
Computed, not measured: an optimized crystal structure of Zn5Fe at the PBE-GGA level of DFT.

abc: 4.9402 4.9402 4.2788
angles: 90.00 90.00 120.00
Space group P6/mmm (No. 191)
Asymmetric unit:
Zn1 0.0000 0.5000 0.0000
Zn2 0.3333 0.6667 0.5000
Fe1 0.0000 0.0000 0.5000

Density of states at the Fermi level   0.596 states/eV/atom
Calculated formation energy   0.26 eV per atom
DFT total energy   -2.211 eV per atom

---

2.
Computed, not measured: an optimized crystal structure of ZnFe at the PBE-GGA level of DFT.

abc: 2.6175 2.6175 8.7193
angles: 90.00 90.00 120.00
Space group P-3m1 (No. 164)
Asymmetric unit:
Zn1 0.3333 0.6667 0.3686
Fe1 0.3333 0.6667 0.8780

Density of states at the Fermi level   0.870 states/eV/atom
Calculated formation energy   0.09 eV per atom
DFT total energy   -4.774 eV per atom

---

3.
Computed, not measured: an optimized crystal structure of ZnFe at the PBE-GGA level of DFT.

abc: 3.6697 11.2069 3.7139
angles: 90.00 90.00 90.00
Space group Cmmm (No. 65)
Asymmetric unit:
Zn1 0.0000 0.0000 0.0000
Zn2 0.0000 0.1682 0.5000
Fe1 0.0000 0.3344 0.0000
Fe2 0.0000 0.5000 0.5000

Density of states at the Fermi level   0.561 states/eV/atom
Calculated formation energy   0.04 eV per atom
DFT total energy   -4.824 eV per atom

---

4.
Computed, not measured: an optimized crystal structure of ZnFe at the PBE-GGA level of DFT.

abc: 3.8229 3.8229 4.9113
angles: 90.00 90.00 120.00
Space group P6_3/mmc (No. 194)
Asymmetric unit:
Zn1 0.3333 0.6667 0.2500
Fe1 0.0000 0.0000 0.0000

Density of states at the Fermi level   0.860 states/eV/atom
Calculated formation energy   0.56 eV per atom
DFT total energy   -4.310 eV per atom

---

5.
Computed, not measured: an optimized crystal structure of Zn2Fe at the PBE-GGA level of DFT.

abc: 2.5958 2.5958 24.5120
angles: 90.00 90.00 90.00
Space group I4_1/amd (No. 141, origin choice 2)
Asymmetric unit:
Zn1 0.0000 0.2500 0.2983
Fe1 0.0000 0.2500 0.8750

Density of states at the Fermi level   0.439 states/eV/atom
Calculated formation energy   0.04 eV per atom
DFT total energy   -3.628 eV per atom

---

6.
Computed, not measured: an optimized crystal structure of Zn4Fe3 at the PBE-GGA level of DFT.

abc: 4.8252 4.8252 4.7392
angles: 90.00 90.00 120.00
Space group P6/mmm (No. 191)
Asymmetric unit:
Zn1 0.0000 0.0000 0.2476
Zn2 0.3333 0.6667 0.5000
Fe1 0.0000 0.5000 0.0000

Density of states at the Fermi level   0.741 states/eV/atom
Calculated formation energy   0.12 eV per atom
Offset from the most stable computed form   72 meV/atom
DFT total energy   -4.232 eV per atom

---

7.
Computed, not measured: an optimized crystal structure of ZnFe at the PBE-GGA level of DFT.

abc: 7.2964 7.2964 3.6490
angles: 90.00 90.00 120.00
Space group P6_3/mmc (No. 194)
Asymmetric unit:
Zn1 0.1640 0.3280 0.2500
Fe1 0.1151 0.5575 0.7500

Density of states at the Fermi level   0.989 states/eV/atom
Calculated formation energy   0.23 eV per atom
DFT total energy   -4.639 eV per atom

---

8.
Computed, not measured: an optimized crystal structure of Zn9Fe4 at the PBE-GGA level of DFT.

abc: 8.9462 8.9462 8.9462
angles: 90.00 90.00 90.00
Space group I-43m (No. 217)
Asymmetric unit:
Zn1 0.0000 0.0000 0.3563
Zn2 0.0554 0.3027 0.3027
Fe1 0.1032 0.1032 0.1032
Fe2 0.1581 0.1581 0.8419

Density of states at the Fermi level   0.548 states/eV/atom
Calculated formation energy   -0.03 eV per atom
Offset from the most stable computed form   0 meV/atom
DFT total energy   -3.511 eV per atom